Entry 1:
DFT (PBE-GGA) results for crystalline As2Cl at its relaxed geometry.

Cell: 3.4804 3.4804 22.9769 Å, 90.00 90.00 90.00°
Closest atoms and distances in Å follow each position.
Space group I4_1/amd (No. 141, origin choice 2)
Unique sites:
As1 0.0000 0.2500 0.2863 [8 per cell]  2 As 2.41
Cl1 0.0000 0.2500 0.8750 [4 per cell]  8 As 3.19, 4 Cl 3.48

Total magnetization ... 0.00 Bohr magnetons per cell
Uncorrected energy ... -10.63 eV/f.u.
Uncorrected formation energy ... 172 meV per atom
V ... 278.3 Å³ per cell
ΔE to the lowest computed polymorph ... 0.444 eV per atom

---

Entry 2:
DFT (PBE-GGA) results for crystalline LiYCo2 at its relaxed geometry.

Cell: 3.2961 3.3200 5.8273 Å, 90.00 90.00 90.00°
Closest atoms and distances in Å follow each position.
Space group Pmmm (No. 47)
Unique sites:
Li1 0.0000 0.0000 0.0000 [1 per cell]  8 Co 2.59
Y1 0.0000 0.0000 0.5000 [1 per cell]  2 Li 2.91, 8 Co 2.95
Co1 0.5000 0.5000 0.1919 [2 per cell]  1 Co 2.24

Total magnetization ... 2.35 Bohr magnetons per cell
Uncorrected energy ... -21.87 eV/f.u.
V ... 63.8 Å³ per cell
E_form ... 0.18 eV/atom
ΔE to the lowest computed polymorph ... 0.173 eV per atom